Record 1
# AgPb2Au | Alexandria | GGA-PBE | relaxed
data_AgPb2Au
_chemical_formula_sum 'Ag2 Pb4 Au2'
_cell_length_a 11.2749
_cell_length_b 3.4264
_cell_length_c 5.2937
_cell_angle_alpha 90.00
_cell_angle_beta 108.31
_cell_angle_gamma 90.00
_space_group_name_H-M_alt 'C 1 m 1'
_space_group_IT_number 8
loop_
_space_group_symop_operation_xyz
'x,y,z'
'x,-y,z'
'x+1/2,y+1/2,z'
'x+1/2,-y+1/2,z'
loop_
_atom_site_label
_atom_site_fract_x
_atom_site_fract_y
_atom_site_fract_z
_atom_site_occupancy
Ag1 0.0000 0.0000 0.0000 1
Pb1 0.2424 0.0000 0.8271 1
Pb2 0.4553 0.0000 0.4715 1
Au1 0.2021 0.5000 0.3086 1
# Volume, Å³ per cell: 194
# Crystal system: monoclinic
# Total energy, eV/atom: -3.35
# ΔE_f, meV/atom: 35
# Polymorph energy (0 for the lowest one), meV/atom: 57

---

Record 2
# AgPb2Au | Alexandria | GGA-PBE | relaxed
data_AgPb2Au
_chemical_formula_sum 'Ag2 Pb4 Au2'
_cell_length_a 6.9967
_cell_length_b 7.2211
_cell_length_c 3.8469
_cell_angle_alpha 90.00
_cell_angle_beta 91.20
_cell_angle_gamma 90.00
_space_group_name_H-M_alt 'C 1 2/m 1'
_space_group_IT_number 12
loop_
_space_group_symop_operation_xyz
'x,y,z'
'-x,-y,-z'
'-x,y,-z'
'x,-y,z'
'x+1/2,y+1/2,z'
'-x+1/2,-y+1/2,-z'
'-x+1/2,y+1/2,-z'
'x+1/2,-y+1/2,z'
loop_
_atom_site_label
_atom_site_fract_x
_atom_site_fract_y
_atom_site_fract_z
_atom_site_occupancy
Ag1 0.0000 0.0000 0.0000 1
Pb1 0.2500 0.2500 0.5000 1
Au1 0.0000 0.5000 0.0000 1
# Volume, Å³ per cell: 194
# Crystal system: monoclinic
# Total energy, eV/atom: -3.35
# ΔE_f, meV/atom: 36
# Polymorph energy (0 for the lowest one), meV/atom: 58

---

Record 3
# Ag12PbAu6 | Alexandria | GGA-PBE | relaxed
data_Ag12PbAu6
_chemical_formula_sum 'Ag36 Pb3 Au18'
_cell_length_a 12.3567
_cell_length_b 12.3567
_cell_length_c 8.8191
_cell_angle_alpha 90.00
_cell_angle_beta 90.00
_cell_angle_gamma 120.00
_space_group_name_H-M_alt 'R -3 m'
_space_group_IT_number 166
_space_group_name_Hall '-R 3 2"'
loop_
_atom_site_label
_atom_site_fract_x
_atom_site_fract_y
_atom_site_fract_z
_atom_site_occupancy
Ag1 0.0000 0.3873 0.0000 1
Ag2 0.0819 0.1638 0.7664 1
Pb1 0.0000 0.0000 0.5000 1
Au1 0.0753 0.5376 0.7303 1
# Volume, Å³ per cell: 1166
# Crystal system: trigonal
# Total energy, eV/atom: -2.93
# ΔE_f, meV/atom: 105